Record 1
RbScHg2Au: relaxed, PBEsol.

```
RbScHg2Au
1.0
-2.3581 3.1547 -3.6885
-4.3577 -3.1817 0.0646
-2.6413 3.7164 4.8671
Sc Au Hg Rb
1 1 2 1
Direct
0.0000 0.0000 0.0000 Sc
0.5000 0.5000 0.5000 Au
0.0000 0.5000 0.0000 Hg
0.5000 0.0000 0.0000 Hg
0.0000 0.0000 0.5000 Rb
```

**Density of states at the Fermi level**: 4.947 states/eV per cell
**Crystal system**: tetragonal
**E_form**: 0.6701 eV per atom
**Symmetry**: P4/mmm

Record 2
SiRuPt: relaxed, PBEsol.

```
SiRuPt
1.0
2.8713 0.0000 0.0000
0.0000 2.8713 0.0000
-1.4357 -1.4357 4.8951
Pt Ru Si
1 1 1
Direct
0.0161 0.0161 0.0322 Pt
0.3084 0.3084 0.6167 Ru
0.6755 0.6755 0.3510 Si
```

**Formation energy from raw total energies**: -0.397 eV/atom
**Density of states at the Fermi level**: 3.130 states/eV per cell
**Distance to the lowest polymorph of the same formula**: 120 meV per atom
**Crystal system**: tetragonal
**Symmetry**: I4mm